Entry 1:
7
Lattice="-2.453 2.453 7.880 2.453 -2.453 7.880 2.453 2.453 -7.880" Properties=species:S:1:pos:R:3 comment="GGA-PBE Ca2W4I, optimized geometry" total_magnetization_mub_per_cell=1.3 formation_energy_uncorrected_ev_per_atom=2.48 pbc="T T T"
Ca 0.000 0.000 2.236
Ca 0.000 0.000 13.523
W 2.453 0.000 0.000
W 0.000 0.000 5.411
W 0.000 2.453 0.000
W 0.000 0.000 10.349
I 0.000 0.000 7.880


Entry 2:
8
Lattice="-2.733 2.733 8.983 2.733 -2.733 8.983 2.733 2.733 -8.983" Properties=species:S:1:pos:R:3 comment="GGA-PBE CaWI2, optimized geometry" total_magnetization_mub_per_cell=8.0 e_above_lowest_polymorph_ev_per_fu=0.00 formation_energy_uncorrected_ev_per_atom=0.63 pbc="T T T"
Ca 0.000 0.000 0.000
Ca 0.000 2.733 4.492
W 2.733 0.000 4.492
W 0.000 0.000 8.983
I 1.367 -1.181 6.737
I 1.553 1.367 2.246
I 1.367 3.914 -2.246
I 1.181 1.367 11.229


Entry 3:
5
Lattice="5.773 0.000 0.000 0.000 5.773 0.000 0.000 0.000 5.773" Properties=species:S:1:pos:R:3 comment="GGA-PBE Ca3WI, optimized geometry" total_magnetization_mub_per_cell=4.7 e_above_lowest_polymorph_ev_per_fu=1.91 formation_energy_uncorrected_ev_per_atom=1.04 pbc="T T T"
Ca 0.000 0.000 2.886
Ca 0.000 2.886 0.000
Ca 2.886 0.000 0.000
W 2.886 2.886 2.886
I 0.000 0.000 0.000